(1)
A plane-wave DFT calculation with PBE was carried out for a relaxed structure of CePm4Tm6.

Calculated values
V in Å³/cell: 366
Total moment in μB/cell: 0.27
Energy of formation in eV per atom: 0.314

Lattice parameters (Å, degrees): 9.6092 9.6092 9.6092 58.12 139.82 139.82
Last column: nearest neighbours and their distance in Å.
Sites, in units of the cell vectors:
Ce  0.0000  0.0000  0.0000  8 Tm 3.30-3.64, 4 Pm 3.42
Pm  0.0000  0.6358  0.0159  5 Tm 3.37-3.55, 1 Ce 3.42, 1 Pm 3.55
Pm  0.3802  0.3642  0.3642  5 Tm 3.37-3.55, 1 Ce 3.42, 1 Pm 3.55
Pm  0.0000  0.0159  0.6358  5 Tm 3.37-3.55, 1 Ce 3.42, 1 Pm 3.55
Pm  0.6198  0.9841  0.9841  5 Tm 3.37-3.55, 1 Ce 3.42, 1 Pm 3.55
Tm  0.0000  0.8072  0.4428  3 Tm 3.20-3.40, 5 Pm 3.37-3.55
Tm  0.0000  0.4428  0.8072  3 Tm 3.20-3.40, 5 Pm 3.37-3.55
Tm  0.3643  0.5572  0.5572  3 Tm 3.20-3.40, 5 Pm 3.37-3.55
Tm  0.5000  0.5000  0.0000  4 Tm 3.20, 2 Ce 3.30
Tm  0.6357  0.1928  0.1928  3 Tm 3.20-3.40, 5 Pm 3.37-3.55
Tm  0.5000  0.0000  0.5000  4 Tm 3.20, 2 Ce 3.30

(2)
A plane-wave DFT calculation with PBE was carried out for a relaxed structure of Ac12Mg3Co5.

Calculated values
V in Å³/cell: 2979
Total moment in μB/cell: 0.00
Energy of formation in eV per atom: 0.197

Lattice parameters (Å, degrees): 15.7001 15.7001 15.7001 109.47 109.47 109.47
Last column: nearest neighbours and their distance in Å.
Sites, in units of the cell vectors:
Mg  0.7500  0.3750  0.1250  8 Ac 3.56-3.65
Mg  0.8750  0.7500  0.1250  8 Ac 3.56-3.65
Mg  0.3750  0.7500  0.6250  8 Ac 3.56-3.65
Mg  0.2500  0.1250  0.3750  8 Ac 3.56-3.65
Mg  0.8750  0.1250  0.2500  8 Ac 3.56-3.65
Mg  0.3750  0.6250  0.2500  8 Ac 3.56-3.65
Mg  0.6250  0.3750  0.7500  8 Ac 3.56-3.65
Mg  0.1250  0.8750  0.7500  8 Ac 3.56-3.65
Mg  0.7500  0.8750  0.6250  8 Ac 3.56-3.65
Mg  0.6250  0.2500  0.3750  8 Ac 3.56-3.65
Mg  0.1250  0.2500  0.8750  8 Ac 3.56-3.65
Mg  0.2500  0.6250  0.8750  8 Ac 3.56-3.65
Co  0.1250  0.3750  0.2500  4 Ac 2.67
Co  0.0000  0.5000  0.0000  6 Ac 2.90
Co  0.0000  0.0000  0.0000  6 Ac 2.90
Co  0.3750  0.2500  0.1250  4 Ac 2.67
Co  0.5000  0.0000  0.5000  6 Ac 2.90
Co  0.5000  0.5000  0.0000  6 Ac 2.90
Co  0.1250  0.7500  0.3750  4 Ac 2.67
Co  0.7500  0.1250  0.8750  4 Ac 2.67
Co  0.7500  0.6250  0.3750  4 Ac 2.67
Co  0.3750  0.1250  0.7500  4 Ac 2.67
Co  0.6250  0.8750  0.2500  4 Ac 2.67
Co  0.5000  0.5000  0.5000  6 Ac 2.90
Co  0.5000  0.0000  0.0000  6 Ac 2.90
Co  0.0000  0.0000  0.5000  6 Ac 2.90
Co  0.2500  0.3750  0.6250  4 Ac 2.67
Co  0.2500  0.8750  0.1250  4 Ac 2.67
Co  0.0000  0.5000  0.5000  6 Ac 2.90
Co  0.8750  0.2500  0.6250  4 Ac 2.67
Co  0.6250  0.7500  0.8750  4 Ac 2.67
Co  0.8750  0.6250  0.7500  4 Ac 2.67
Ac  0.6997  0.1131  0.0186  2 Co 2.67-2.90
Ac  0.3189  0.5186  0.4055  2 Co 2.67-2.90
Ac  0.9814  0.3869  0.3003  2 Co 2.67-2.90
Ac  0.5186  0.1997  0.1131  2 Co 2.67-2.90
Ac  0.5866  0.6997  0.6811  2 Co 2.67-2.90
Ac  0.9814  0.5945  0.1811  2 Co 2.67-2.90
Ac  0.3189  0.8003  0.4134  2 Co 2.67-2.90
Ac  0.0945  0.9134  0.1131  2 Co 2.67-2.90
Ac  0.5945  0.9814  0.6811  2 Co 2.67-2.90
Ac  0.6997  0.5866  0.1811  2 Co 2.67-2.90
Ac  0.8003  0.4814  0.3869  2 Co 2.67-2.90
Ac  0.8189  0.9055  0.0186  2 Co 2.67-2.90
Ac  0.1131  0.6997  0.5186  2 Co 2.67-2.90
Ac  0.3869  0.4055  0.0866  2 Co 2.67-2.90
Ac  0.0866  0.9055  0.3869  2 Co 2.67-2.90
Ac  0.4134  0.1131  0.5945  2 Co 2.67-2.90
Ac  0.0866  0.1811  0.1997  2 Co 2.67-2.90
Ac  0.4814  0.6811  0.0945  2 Co 2.67-2.90
Ac  0.8189  0.9134  0.3003  2 Co 2.67-2.90
Ac  0.1131  0.4134  0.0945  2 Co 2.67-2.90
Ac  0.3869  0.9814  0.8003  2 Co 2.67-2.90
Ac  0.5945  0.6131  0.4134  2 Co 2.67-2.90
Ac  0.9055  0.8189  0.5186  2 Co 2.67-2.90
Ac  0.8003  0.3189  0.9134  2 Co 2.67-2.90
Ac  0.4055  0.3869  0.5866  2 Co 2.67-2.90
Ac  0.0945  0.1811  0.4814  2 Co 2.67-2.90
Ac  0.1997  0.6811  0.0866  2 Co 2.67-2.90
Ac  0.1811  0.0866  0.6997  2 Co 2.67-2.90
Ac  0.6131  0.0186  0.1997  2 Co 2.67-2.90
Ac  0.8869  0.5866  0.9055  2 Co 2.67-2.90
Ac  0.5186  0.3189  0.9055  2 Co 2.67-2.90
Ac  0.5866  0.8869  0.4055  2 Co 2.67-2.90
Ac  0.9134  0.8189  0.8003  2 Co 2.67-2.90
Ac  0.9134  0.0945  0.6131  2 Co 2.67-2.90
Ac  0.8869  0.3003  0.4814  2 Co 2.67-2.90
Ac  0.1811  0.0945  0.9814  2 Co 2.67-2.90
Ac  0.6131  0.5945  0.9134  2 Co 2.67-2.90
Ac  0.4055  0.0186  0.3189  2 Co 2.67-2.90
Ac  0.3003  0.4134  0.8189  2 Co 2.67-2.90
Ac  0.1997  0.5186  0.6131  2 Co 2.67-2.90
Ac  0.9055  0.0866  0.8869  2 Co 2.67-2.90
Ac  0.6811  0.1997  0.5866  2 Co 2.67-2.90
Ac  0.4814  0.8003  0.8869  2 Co 2.67-2.90
Ac  0.0186  0.4055  0.8189  2 Co 2.67-2.90
Ac  0.4134  0.3003  0.3189  2 Co 2.67-2.90
Ac  0.0186  0.6131  0.6997  2 Co 2.67-2.90
Ac  0.6811  0.4814  0.5945  2 Co 2.67-2.90
Ac  0.3003  0.8869  0.9814  2 Co 2.67-2.90